# CrSnPbF6 | the Alexandria database | GGA+U | relaxed
# Energy = -5.214 eV/atom
# Mass density = 5.265 g cm⁻³
data_CrSnPbF6
_chemical_formula_sum 'Cr2 Sn2 Pb2 F12'
_cell_length_a 6.0740
_cell_length_b 6.0740
_cell_length_c 9.7118
_cell_angle_alpha 90.00
_cell_angle_beta 90.00
_cell_angle_gamma 120.00
_space_group_name_H-M_alt 'P -3 1 c'
_space_group_IT_number 163
_space_group_name_Hall '-P 3 2c'
loop_
_atom_site_label
_atom_site_type_symbol
_atom_site_fract_x
_atom_site_fract_y
_atom_site_fract_z
Cr1 Cr 0.3333 0.6667 0.2500
Sn1 Sn 0.0000 0.0000 0.0000
Pb1 Pb 0.3333 0.6667 0.7500
F1 F 0.0455 0.3639 0.1323